# LiNiP PBE relaxed
# crystal system	tetragonal
# SG	P4/nmm, No. 129
# formation energy	-604	meV per atom
# VASP energy	-29.84	eV per cell
data_LiNiP
_chemical_formula_sum 'Li2 Ni2 P2'
_space_group_name_H-M_alt 'P 1'
_space_group_IT_number 1
_space_group_name_Hall 'P 1'
_cell_length_a 3.7320
_cell_length_b 3.7320
_cell_length_c 5.8176
_cell_angle_alpha 90.00
_cell_angle_beta 90.00
_cell_angle_gamma 90.00
loop_
_atom_site_label
_atom_site_fract_x
_atom_site_fract_y
_atom_site_fract_z
_atom_site_occupancy
P1 0.0000 0.5000 0.7802 1
Ni1 0.5000 0.5000 0.0000 1
Li1 0.5000 0.0000 0.6620 1
Li2 0.0000 0.5000 0.3380 1
P2 0.5000 0.0000 0.2198 1
Ni2 0.0000 0.0000 0.0000 1